Record 1
# PuBi3S6 PBE optimized geometry
data_PuBi3S6
_chemical_formula_sum 'Pu2 Bi6 S12'
_cell_length_a 11.568
_cell_length_b 4.004
_cell_length_c 11.657
_cell_angle_alpha 90.00
_cell_angle_beta 105.91
_cell_angle_gamma 90.00
_space_group_name_H-M_alt 'P 1 21/m 1'
_space_group_IT_number 11
loop_
_space_group_symop_operation_xyz
'x,y,z'
'-x,-y,-z'
'-x,y+1/2,-z'
'x,-y+1/2,z'
loop_
_atom_site_label
_atom_site_type_symbol
_atom_site_fract_x
_atom_site_fract_y
_atom_site_fract_z
Pu1 Pu 0.180 0.250 0.038
Bi1 Bi 0.017 0.750 0.308
Bi2 Bi 0.336 0.250 0.426
Bi3 Bi 0.410 0.750 0.848
S1 S 0.041 0.750 0.894
S2 S 0.115 0.250 0.466
S3 S 0.216 0.750 0.233
S4 S 0.251 0.250 0.811
S5 S 0.382 0.750 0.067
S6 S 0.409 0.750 0.586
# **Theoretical density**: 6.80 Mg/m³
# **Formation energy from raw total energies**: -0.661 eV/atom
# **Final energy**: -57.35 eV/f.u.

=====

Record 2
# PuBiS PBE optimized geometry
data_PuBiS
_chemical_formula_sum 'Pu4 Bi4 S4'
_cell_length_a 4.837
_cell_length_b 14.927
_cell_length_c 4.581
_cell_angle_alpha 90.00
_cell_angle_beta 90.00
_cell_angle_gamma 90.00
_space_group_name_H-M_alt 'C m c m'
_space_group_IT_number 63
_space_group_name_Hall '-C 2c 2'
loop_
_atom_site_label
_atom_site_type_symbol
_atom_site_fract_x
_atom_site_fract_y
_atom_site_fract_z
Pu1 Pu 0.000 0.157 0.250
Bi1 Bi 0.000 0.432 0.250
S1 S 0.000 0.259 0.750
# **Theoretical density**: 9.74 Mg/m³
# **Formation energy from raw total energies**: -0.901 eV/atom
# **Final energy**: -25.04 eV/f.u.
# **Offset from the most stable computed form**: 0.00 kJ/mol of atoms

=====

Record 3
# PuBiS3 PBE optimized geometry
data_PuBiS3
_chemical_formula_sum 'Pu2 Bi2 S6'
_cell_length_a 6.829
_cell_length_b 4.207
_cell_length_c 10.616
_cell_angle_alpha 90.00
_cell_angle_beta 90.31
_cell_angle_gamma 90.00
_space_group_name_H-M_alt 'P 1 21/m 1'
_space_group_IT_number 11
loop_
_space_group_symop_operation_xyz
'x,y,z'
'-x,-y,-z'
'-x,y+1/2,-z'
'x,-y+1/2,z'
loop_
_atom_site_label
_atom_site_type_symbol
_atom_site_fract_x
_atom_site_fract_y
_atom_site_fract_z
Pu1 Pu 0.225 0.250 0.412
Bi1 Bi 0.379 0.250 0.838
S1 S 0.022 0.250 0.638
S2 S 0.382 0.250 0.131
S3 S 0.492 0.750 0.390
# **Theoretical density**: 5.98 Mg/m³
# **Formation energy from raw total energies**: -0.899 eV/atom
# **Final energy**: -35.09 eV/f.u.
# **Offset from the most stable computed form**: 5.70 kJ/mol of atoms

=====

Record 4
# Pu2BiS PBE optimized geometry
data_Pu2BiS
_chemical_formula_sum 'Pu6 Bi3 S3'
_cell_length_a 4.2510
_cell_length_b 4.2510
_cell_length_c 20.8501
_cell_angle_alpha 90.00
_cell_angle_beta 90.00
_cell_angle_gamma 120.00
_space_group_name_H-M_alt 'R -3 m'
_space_group_IT_number 166
_space_group_name_Hall '-R 3 2"'
loop_
_atom_site_label
_atom_site_type_symbol
_atom_site_fract_x
_atom_site_fract_y
_atom_site_fract_z
Pu1 Pu 0.0000 0.0000 0.2362
Bi1 Bi 0.0000 0.0000 0.0000
S1 S 0.0000 0.0000 0.5000
# **Theoretical density**: 11.13 Mg/m³
# **Formation energy from raw total energies**: -1.001 eV/atom
# **Final energy**: -40.68 eV/f.u.
# **Offset from the most stable computed form**: 0.00 kJ/mol of atoms

=====

Q: The lowest theoretical density belongs to which entry?
A: PuBiS3